# 1
Entry from Alexandria: a geometry-optimized SiC2 structure (PBE).

Structure (CIF):
```
data_SiC2
_cell_length_a 2.4344
_cell_length_b 2.4344
_cell_length_c 8.8234
_cell_angle_alpha 90.00
_cell_angle_beta 90.00
_cell_angle_gamma 90.00
_symmetry_space_group_name_H-M 'I 4/m m m'
_symmetry_Int_Tables_number 139
_symmetry_space_group_name_Hall '-I 4 2'
loop_
_atom_site_label
_atom_site_type_symbol
_atom_site_fract_x
_atom_site_fract_y
_atom_site_fract_z
Si1 Si 0.0000 0.0000 0.0000
C1 C 0.0000 0.0000 0.2249
```

## Properties
Raw total energy = -37.42 eV per cell
Offset from the most stable computed form = 1.3890 eV/atom
Formation energy (no corrections) = 1721 meV per atom
Crystal system = tetragonal



# 2
Entry from Alexandria: a geometry-optimized Si2C structure (PBE).

Structure (CIF):
```
data_Si2C
_cell_length_a 5.1170
_cell_length_b 5.1170
_cell_length_c 5.5210
_cell_angle_alpha 90.00
_cell_angle_beta 90.00
_cell_angle_gamma 120.00
_symmetry_space_group_name_H-M 'P -6 2 m'
_symmetry_Int_Tables_number 189
_symmetry_space_group_name_Hall 'P -6 -2'
loop_
_atom_site_label
_atom_site_type_symbol
_atom_site_fract_x
_atom_site_fract_y
_atom_site_fract_z
Si1 Si 0.0000 0.2904 0.0000
Si2 Si 0.0000 0.6362 0.5000
C1 C 0.0000 0.0000 0.5000
C2 C 0.3333 0.6667 0.0000
```

## Properties
Raw total energy = -51.27 eV per cell
Offset from the most stable computed form = 0.6458 eV/atom
Formation energy (no corrections) = 993 meV per atom
Crystal system = hexagonal



Please write out number 2 again, unchanged.
Entry from Alexandria: a geometry-optimized Si2C structure (PBE).

Structure (CIF):
```
data_Si2C
_cell_length_a 5.1170
_cell_length_b 5.1170
_cell_length_c 5.5210
_cell_angle_alpha 90.00
_cell_angle_beta 90.00
_cell_angle_gamma 120.00
_symmetry_space_group_name_H-M 'P -6 2 m'
_symmetry_Int_Tables_number 189
_symmetry_space_group_name_Hall 'P -6 -2'
loop_
_atom_site_label
_atom_site_type_symbol
_atom_site_fract_x
_atom_site_fract_y
_atom_site_fract_z
Si1 Si 0.0000 0.2904 0.0000
Si2 Si 0.0000 0.6362 0.5000
C1 C 0.0000 0.0000 0.5000
C2 C 0.3333 0.6667 0.0000
```

## Properties
Raw total energy = -51.27 eV per cell
Offset from the most stable computed form = 0.6458 eV/atom
Formation energy (no corrections) = 993 meV per atom
Crystal system = hexagonal



Look up the formation energy (no corrections) of the second one.
993 meV per atom



formation energy (no corrections) of number 2 (Si2C)?
993 meV per atom